Record 1
A plane-wave DFT calculation with PBE-GGA was carried out for a relaxed Sc7Ga2Te2 crystal.

Properties
* space-group type: Imm2 (44)

abc: 4.0887 8.4688 8.4688
angles: 63.45 76.03 76.03
With the nearest neighbours (Å) after each atom.
Sites, in units of the cell vectors:
1 Sc 0.8139 0.0834 0.2888  3 Ga 2.73-2.98, 1 Te 2.88
2 Sc 0.8542 0.4122 0.8794  2 Ga 2.83, 2 Te 2.98
3 Sc 0.5000 0.0119 0.9881  3 Te 3.06-3.08, 2 Ga 3.25
4 Sc 0.6316 0.4821 0.2547  2 Ga 2.81, 3 Te 2.93-3.00
5 Sc 0.3684 0.7453 0.5179  2 Ga 2.81, 3 Te 2.93-3.00
6 Sc 0.1861 0.7112 0.9166  3 Ga 2.73-2.98, 1 Te 2.88
7 Sc 0.1458 0.1206 0.5878  2 Ga 2.83, 2 Te 2.98
8 Ga 0.7300 0.8594 0.6807  7 Sc 2.73-2.98
9 Ga 0.2700 0.3193 0.1406  7 Sc 2.73-2.98
10 Te 0.0000 0.7526 0.2474  8 Sc 2.88-3.08
11 Te 0.5000 0.3559 0.6441  7 Sc 2.93-3.06

---

Record 2
A plane-wave DFT calculation with PBE-GGA was carried out for a relaxed TmUS4 crystal.

Properties
* polymorph energy (0 for the lowest one): 0.000 eV/atom
* space-group type: C2/m (12)

abc: 3.9981 6.7865 13.2301
angles: 99.18 90.00 90.00
With the nearest neighbours (Å) after each atom.
Sites, in units of the cell vectors:
1 Tm 0.5000 0.0000 0.5000  6 S 2.71-2.72
2 Tm 0.0000 0.0000 0.0000  6 S 2.71-2.72
3 U 0.0000 0.5000 0.5000  6 S 2.58-2.65
4 U 0.5000 0.5000 0.0000  6 S 2.58-2.65
5 S 0.5000 0.6231 0.3937  2 U 2.65, 1 Tm 2.72
6 S 0.0000 0.3769 0.1063  2 U 2.65, 1 Tm 2.72
7 S 0.5000 0.3769 0.6063  2 U 2.65, 1 Tm 2.72
8 S 0.0000 0.6231 0.8937  2 U 2.65, 1 Tm 2.72
9 S 0.0001 0.1452 0.3949  1 U 2.58, 2 Tm 2.71
10 S 0.5001 0.8548 0.1051  1 U 2.58, 2 Tm 2.71
11 S 0.9999 0.8548 0.6051  1 U 2.58, 2 Tm 2.71
12 S 0.4999 0.1452 0.8949  1 U 2.58, 2 Tm 2.71

---

Record 3
A plane-wave DFT calculation with PBE-GGA was carried out for a relaxed AcGeTeO6 crystal.

Properties
* space-group type: P312 (149)

abc: 5.3163 5.3163 5.4136
angles: 90.00 90.00 60.00
With the nearest neighbours (Å) after each atom.
Sites, in units of the cell vectors:
1 Ac 0.0000 0.0000 0.0000  6 O 2.56
2 Ge 0.3333 0.3333 0.5000  6 O 1.94
3 Te 0.6666 0.6667 0.5000  6 O 2.08
4 O 0.0194 0.3685 0.2930  1 Ge 1.94, 1 Te 2.08
5 O 0.3684 0.0194 0.7070  1 Ge 1.94, 1 Te 2.08
6 O 0.6121 0.3685 0.7070  1 Ge 1.94, 1 Te 2.08
7 O 0.0194 0.6121 0.7070  1 Ge 1.94, 1 Te 2.08
8 O 0.3685 0.6121 0.2929  1 Ge 1.94, 1 Te 2.08
9 O 0.6121 0.0194 0.2930  1 Ge 1.94, 1 Te 2.08

---

no.,theoretical density (g/cm3),formation energy from raw total energies (eV/atom),total energy (Ha/atom)
1,4.683,-0.7044,-0.2152
2,5.016,-1.5736,-0.2555
3,6.557,-1.9025,-0.2398